No. 1
Compound: LaMg3Cr
Source: Alexandria via LeMat-Bulk
Functional: PBE
Structure: optimized geometry

As for the calculated formation energy: 1.51 eV per atom. The calculation puts the density at 2.013 g cm⁻³.

The structure belongs to space group Pm-3m (No. 221); the cell edges are 6.0150, 6.0150 and 6.0150 Å and the angles 90.00°, 90.00° and 90.00°. Symmetry generates all atoms from La at (0.0000, 0.0000, 0.0000), Mg at (0.0000, 0.0000, 0.5000) and Cr at (0.5000, 0.5000, 0.5000).

No. 2
Compound: La2MgCr
Source: Alexandria via LeMat-Bulk
Functional: PBE
Structure: optimized geometry

As for the calculated formation energy: 0.29 eV per atom. The calculation puts the density at 5.330 g cm⁻³.

The structure belongs to space group I-4m2 (No. 119); the cell edges are 4.8436, 4.8436 and 9.4052 Å and the angles 90.00°, 90.00° and 90.00°. Symmetry generates all atoms from La at (0.0000, 0.0000, 0.0000), La at (0.0000, 0.5000, 0.2500), Mg at (0.0000, 0.5000, 0.7500) and Cr at (0.0000, 0.0000, 0.5000).